Record 1
Below is a relaxed Li2HfWN4 crystal, with properties calculated at the GGA-PBE level.

Values from the calculation:
crystal system: monoclinic
formation energy without anion corrections: -20.67 kcal/mol of atoms

abc: 3.0986 5.4037 5.4102
angles: 109.60 90.00 90.00
Closest atoms and distances in Å follow each position.
Fractional coordinates of all 8 atoms:
Li 0.0000 0.5000 0.5000  6 N 2.32-2.39
N 0.0000 0.7584 0.2173  1 W 2.03, 2 Hf 2.15, 2 Li 2.26
N 0.5000 0.2260 0.2201  2 W 2.08, 1 Hf 2.19, 3 Li 2.24-2.32
N 0.5000 0.7740 0.7799  2 W 2.08, 1 Hf 2.19, 3 Li 2.24-2.32
W 0.0000 0.0000 0.0000  6 N 2.03-2.08
Hf 0.5000 0.5000 0.0000  6 N 2.15-2.19
Li 0.5000 0.0000 0.5000  6 N 2.24-2.26
N 0.0000 0.2416 0.7827  1 W 2.03, 2 Hf 2.15, 2 Li 2.26



Record 2
Below is a relaxed ZnCdCl crystal, with properties calculated at the GGA-PBE level.

Values from the calculation:
E above lowest polymorph: 0.212 eV per formula unit
crystal system: orthorhombic
formation energy without anion corrections: -5.17 kcal/mol of atoms

abc: 6.7803 6.3436 3.5674
angles: 81.11 67.57 31.32
Closest atoms and distances in Å follow each position.
Fractional coordinates of all 3 atoms:
Cd 0.0106 0.0106 0.9894  2 Zn 2.70, 2 Cl 2.99
Cl 0.3178 0.3178 0.6822  2 Zn 2.58
Zn 0.6716 0.6716 0.3284  2 Cl 2.58, 2 Cd 2.70



Record 3
Below is a relaxed Nd2Hg2Pb crystal, with properties calculated at the GGA-PBE level.

Values from the calculation:
E above lowest polymorph: 0.000 eV per formula unit
crystal system: monoclinic
formation enthalpy at 0 K: -44 kJ/mol of atoms

abc: 3.5930 4.9208 8.2082
angles: 107.39 90.00 90.00
Closest atoms and distances in Å follow each position.
Fractional coordinates of all 5 atoms:
Hg 0.0000 0.7996 0.5998  2 Hg 2.91-2.92, 1 Pb 3.13
Nd 0.5000 0.6201 0.2385  6 Hg 3.30-3.35, 4 Pb 3.57-3.58, 2 Nd 3.59
Nd 0.5000 0.3799 0.7615  6 Hg 3.30-3.35, 4 Pb 3.57-3.58, 2 Nd 3.59
Hg 0.0000 0.2004 0.4002  2 Hg 2.91-2.92, 1 Pb 3.13
Pb 0.0000 0.0000 0.0000  2 Hg 3.13



Record 4
Below is a relaxed Hg2PRh crystal, with properties calculated at the GGA-PBE level.

Values from the calculation:
crystal system: tetragonal
formation enthalpy at 0 K: 45 kJ/mol of atoms

abc: 7.6952 7.6952 6.0455
angles: 50.47 50.47 90.00
Closest atoms and distances in Å follow each position.
Fractional coordinates of all 8 atoms:
Hg 0.8750 0.8524 0.7500  2 Hg 2.66, 2 P 2.68, 2 Rh 2.92
P 0.2500 0.7500 0.5000  2 Rh 2.63, 4 Hg 2.68
Hg 0.3750 0.3976 0.7500  2 Hg 2.66, 2 P 2.68, 2 Rh 2.92
Rh 0.0000 0.0000 0.0000  2 P 2.63, 4 Hg 2.92
Hg 0.6024 0.1250 0.2500  2 Hg 2.66, 2 P 2.68, 2 Rh 2.92
P 0.5000 0.5000 0.0000  2 Rh 2.63, 4 Hg 2.68
Hg 0.1476 0.6250 0.2500  2 Hg 2.66, 2 P 2.68, 2 Rh 2.92
Rh 0.7500 0.2500 0.5000  2 P 2.63, 4 Hg 2.92



Question: Which formula does entry 1 have?
Answer: Li2HfWN4